# Mn2HSeO, optimized geometry, DFT PBE with a Hubbard U
# Calculated volume ... 18.61 Å³ per atom
# Raw total energy ... -29.7 eV/cell
data_Mn2HSeO
_chemical_formula_sum 'Mn2 H1 Se1 O1'
_space_group_name_H-M_alt 'P 1 m 1'
_space_group_IT_number 6
_cell_length_a 5.315
_cell_length_b 3.244
_cell_length_c 5.569
_cell_angle_alpha 90.00
_cell_angle_beta 104.26
_cell_angle_gamma 90.00
loop_
_space_group_symop_operation_xyz
'x,y,z'
'x,-y,z'
loop_
_atom_site_label
_atom_site_type_symbol
_atom_site_fract_x
_atom_site_fract_y
_atom_site_fract_z
Mn1 Mn 0.000 0.000 0.000
Mn2 Mn 0.219 0.500 0.573
H1 H 0.976 0.500 0.818
Se1 Se 0.486 0.000 0.913
O1 O 0.102 0.000 0.365